[1]
The following is a GGA-PBE calculation of an optimized crystal structure of TmSnNO, from OQMD via LeMat-Bulk.

Summary:
size of the total moment = 0.0003 μB per atom

Lattice parameters (Å, degrees): 4.2629 4.2629 7.9023 90.00 90.00 90.00
Closest atoms and distances in Å follow each position.
Fractional positions:
1 O 0.5000 0.5000 0.0000  4 Sn 2.33
2 O 0.0000 0.0000 0.0000  4 Sn 2.33
3 N 0.5000 0.0000 0.5896  4 Tm 2.25
4 N 0.0000 0.5000 0.4104  4 Tm 2.25
5 Sn 0.0000 0.5000 0.8798  4 O 2.33
6 Sn 0.5000 0.0000 0.1202  4 O 2.33
7 Tm 0.0000 0.0000 0.5000  4 N 2.25
8 Tm 0.5000 0.5000 0.5000  4 N 2.25

***

[2]
The following is a GGA-PBE calculation of an optimized crystal structure of TmSnNO, from OQMD via LeMat-Bulk.

Summary:
size of the total moment = 0.0000 μB per atom

Lattice parameters (Å, degrees): 5.5910 8.1838 5.5097 90.00 90.00 90.00
Closest atoms and distances in Å follow each position.
Fractional positions:
1 Tm 0.9836 0.3770 0.4693  4 O 2.20-2.22, 1 N 2.31
2 Tm 0.5164 0.3770 0.9693  4 O 2.20-2.22, 1 N 2.31
3 Tm 0.4836 0.6230 0.4693  4 O 2.20-2.22, 1 N 2.31
4 Tm 0.0164 0.6230 0.9693  4 O 2.20-2.22, 1 N 2.31
5 N 0.0982 0.1120 0.5586  3 Sn 2.15-2.23, 1 Tm 2.31
6 N 0.4018 0.1120 0.0586  3 Sn 2.15-2.23, 1 Tm 2.31
7 N 0.9018 0.8880 0.0586  3 Sn 2.15-2.23, 1 Tm 2.31
8 N 0.5982 0.8880 0.5586  3 Sn 2.15-2.23, 1 Tm 2.31
9 Sn 0.4769 0.1276 0.4560  3 N 2.15-2.23
10 Sn 0.5231 0.8724 0.9560  3 N 2.15-2.23
11 Sn 0.9769 0.8724 0.4560  3 N 2.15-2.23
12 Sn 0.0231 0.1276 0.9560  3 N 2.15-2.23
13 O 0.2477 0.4849 0.2185  4 Tm 2.20-2.22
14 O 0.7523 0.5151 0.7185  4 Tm 2.20-2.22
15 O 0.2523 0.4849 0.7185  4 Tm 2.20-2.22
16 O 0.7477 0.5151 0.2185  4 Tm 2.20-2.22

***

[3]
The following is a GGA-PBE calculation of an optimized crystal structure of TmSnNO, from OQMD via LeMat-Bulk.

Summary:
size of the total moment = 0.0005 μB per atom

Lattice parameters (Å, degrees): 6.6424 7.0343 5.6238 90.00 90.00 90.00
Closest atoms and distances in Å follow each position.
Fractional positions:
1 N 0.9126 0.6136 0.0859  1 Sn 2.17, 3 Tm 2.22-2.26
2 N 0.5874 0.6136 0.5859  1 Sn 2.17, 3 Tm 2.22-2.26
3 N 0.0874 0.3864 0.5859  1 Sn 2.17, 3 Tm 2.22-2.26
4 N 0.4126 0.3864 0.0859  1 Sn 2.17, 3 Tm 2.22-2.26
5 O 0.0660 0.0794 0.1668  2 Sn 2.10-2.19, 1 Tm 2.20
6 O 0.9340 0.9206 0.6668  2 Sn 2.10-2.19, 1 Tm 2.20
7 O 0.4340 0.0794 0.6668  2 Sn 2.10-2.19, 1 Tm 2.20
8 O 0.5660 0.9206 0.1668  2 Sn 2.10-2.19, 1 Tm 2.20
9 Sn 0.1212 0.8313 0.9682  2 O 2.10-2.19, 1 N 2.17
10 Sn 0.6212 0.1687 0.9682  2 O 2.10-2.19, 1 N 2.17
11 Sn 0.3788 0.8313 0.4682  2 O 2.10-2.19, 1 N 2.17
12 Sn 0.8788 0.1687 0.4682  2 O 2.10-2.19, 1 N 2.17
13 Tm 0.9085 0.6458 0.4816  1 O 2.20, 3 N 2.22-2.26
14 Tm 0.4085 0.3542 0.4816  1 O 2.20, 3 N 2.22-2.26
15 Tm 0.0915 0.3542 0.9816  1 O 2.20, 3 N 2.22-2.26
16 Tm 0.5915 0.6458 0.9816  1 O 2.20, 3 N 2.22-2.26

***

[4]
The following is a GGA-PBE calculation of an optimized crystal structure of ZnSnNO, from OQMD via LeMat-Bulk.

Lattice parameters (Å, degrees): 3.7002 3.7002 7.9352 90.00 90.00 90.00
Closest atoms and distances in Å follow each position.
Fractional positions:
1 O 0.2500 0.7500 0.0000  4 Sn 2.21
2 O 0.7500 0.2500 0.0000  4 Sn 2.21
3 Zn 0.2500 0.7500 0.5000  4 N 2.11
4 Zn 0.7500 0.2500 0.5000  4 N 2.11
5 N 0.2500 0.2500 0.6267  4 Zn 2.11
6 N 0.7500 0.7500 0.3733  4 Zn 2.11
7 Sn 0.7500 0.7500 0.8483  4 O 2.21
8 Sn 0.2500 0.2500 0.1517  4 O 2.21

***

[5]
The following is a GGA-PBE calculation of an optimized crystal structure of ZnSnNO, from OQMD via LeMat-Bulk.

Lattice parameters (Å, degrees): 5.9123 6.9489 5.6877 90.00 90.00 90.00
Closest atoms and distances in Å follow each position.
Fractional positions:
1 Sn 0.4405 0.8604 0.4970  1 N 2.04, 3 O 2.17-2.27
2 Sn 0.0595 0.8604 0.9970  1 N 2.04, 3 O 2.17-2.27
3 Sn 0.5595 0.1396 0.9970  1 N 2.04, 3 O 2.17-2.27
4 Sn 0.9405 0.1396 0.4970  1 N 2.04, 3 O 2.17-2.27
5 N 0.5889 0.6149 0.6191  3 Zn 2.01-2.02, 1 Sn 2.04
6 N 0.4111 0.3851 0.1191  3 Zn 2.01-2.02, 1 Sn 2.04
7 N 0.0889 0.3851 0.6191  3 Zn 2.01-2.02, 1 Sn 2.04
8 N 0.9111 0.6149 0.1191  3 Zn 2.01-2.02, 1 Sn 2.04
9 Zn 0.1027 0.4060 0.9723  3 N 2.01-2.02
10 Zn 0.3973 0.4060 0.4723  3 N 2.01-2.02
11 Zn 0.6027 0.5940 0.9723  3 N 2.01-2.02
12 Zn 0.8973 0.5940 0.4723  3 N 2.01-2.02
13 O 0.5911 0.1456 0.6140  3 Sn 2.17-2.27, 1 Zn 2.29
14 O 0.4089 0.8544 0.1140  3 Sn 2.17-2.27, 1 Zn 2.29
15 O 0.0911 0.8544 0.6140  3 Sn 2.17-2.27, 1 Zn 2.29
16 O 0.9089 0.1456 0.1140  3 Sn 2.17-2.27, 1 Zn 2.29

***

[6]
The following is a GGA-PBE calculation of an optimized crystal structure of ZnSnNO, from OQMD via LeMat-Bulk.

Lattice parameters (Å, degrees): 5.5650 6.0905 6.7526 90.00 90.00 90.00
Closest atoms and distances in Å follow each position.
Fractional positions:
1 Sn 0.9880 0.5913 0.8497  3 N 2.15-2.19, 1 O 2.19
2 Sn 0.4880 0.9087 0.8497  3 N 2.15-2.19, 1 O 2.19
3 Sn 0.9880 0.0913 0.1503  3 N 2.15-2.19, 1 O 2.19
4 Sn 0.4880 0.4087 0.1503  3 N 2.15-2.19, 1 O 2.19
5 O 0.6225 0.1098 0.6047  3 Zn 2.04-2.06, 1 Sn 2.19
6 O 0.1225 0.3902 0.6047  3 Zn 2.04-2.06, 1 Sn 2.19
7 O 0.6225 0.6098 0.3953  3 Zn 2.04-2.06, 1 Sn 2.19
8 O 0.1225 0.8902 0.3953  3 Zn 2.04-2.06, 1 Sn 2.19
9 Zn 0.9901 0.0785 0.6241  3 O 2.04-2.06, 1 N 2.04
10 Zn 0.4901 0.4215 0.6241  3 O 2.04-2.06, 1 N 2.04
11 Zn 0.9901 0.5785 0.3759  3 O 2.04-2.06, 1 N 2.04
12 Zn 0.4901 0.9215 0.3759  3 O 2.04-2.06, 1 N 2.04
13 N 0.6018 0.5655 0.8816  1 Zn 2.04, 3 Sn 2.15-2.19
14 N 0.6018 0.0655 0.1184  1 Zn 2.04, 3 Sn 2.15-2.19
15 N 0.1018 0.4345 0.1184  1 Zn 2.04, 3 Sn 2.15-2.19
16 N 0.1018 0.9345 0.8816  1 Zn 2.04, 3 Sn 2.15-2.19

***

[7]
The following is a GGA-PBE calculation of an optimized crystal structure of ZnSnNO, from OQMD via LeMat-Bulk.

Lattice parameters (Å, degrees): 3.6292 5.5303 5.7631 90.00 90.00 90.00
Closest atoms and distances in Å follow each position.
Fractional positions:
1 O 0.5000 0.8703 0.8439  2 Zn 2.09-2.11, 2 Sn 2.16
2 O 0.5000 0.3703 0.1561  2 Zn 2.09-2.11, 2 Sn 2.16
3 Zn 0.5000 0.4909 0.8130  2 N 2.06, 2 O 2.09-2.11
4 Zn 0.5000 0.9909 0.1870  2 N 2.06, 2 O 2.09-2.11
5 Sn 0.0000 0.5017 0.3149  2 N 2.14-2.15, 2 O 2.16
6 Sn 0.0000 0.0017 0.6851  2 N 2.14-2.15, 2 O 2.16
7 N 0.0000 0.3911 0.6713  2 Zn 2.06, 2 Sn 2.14-2.15
8 N 0.0000 0.8911 0.3287  2 Zn 2.06, 2 Sn 2.14-2.15

***

[8]
The following is a GGA-PBE calculation of an optimized crystal structure of ZnSnNO, from OQMD via LeMat-Bulk.

Lattice parameters (Å, degrees): 4.6337 4.6337 4.5875 90.00 90.00 90.00
Closest atoms and distances in Å follow each position.
Fractional positions:
1 Zn 0.0000 0.5000 0.0026  2 N 2.28-2.31, 4 O 2.32
2 Zn 0.5000 0.0000 0.9974  2 N 2.28-2.31, 4 O 2.32
3 N 0.0000 0.5000 0.4996  2 Zn 2.28-2.31, 4 Sn 2.32
4 N 0.5000 0.0000 0.5004  2 Zn 2.28-2.31, 4 Sn 2.32
5 Sn 0.5000 0.5000 0.5000  2 O 2.29, 4 N 2.32
6 Sn 0.0000 0.0000 0.5000  2 O 2.29, 4 N 2.32
7 O 0.5000 0.5000 0.0000  2 Sn 2.29, 4 Zn 2.32
8 O 0.0000 0.0000 0.0000  2 Sn 2.29, 4 Zn 2.32

***

| no. | energy above the lowest structure with this stoichiometry (eV/atom) | calculated total energy (eV/atom) |
| --- | --- | --- |
| 1 | 0.657 | -6.479 |
| 2 | 0.000 | -7.136 |
| 3 | 0.282 | -6.855 |
| 4 | 0.282 | -4.796 |
| 5 | 0.077 | -5.001 |
| 6 | 0.011 | -5.068 |
| 7 | 0.000 | -5.078 |
| 8 | 0.159 | -4.919 |